# LaGeIr, relaxed, DFT PBE
# - calculated total energy (eV/atom) = -6.98
# - calculated density (Mg/m³) = 9.723
# - magnetization (μB/f.u.) = 0.00
# - formation energy (eV per atom) = -0.85
data_LaGeIr
_cell_length_a 7.8117
_cell_length_b 7.8117
_cell_length_c 7.8117
_cell_angle_alpha 147.39
_cell_angle_beta 147.39
_cell_angle_gamma 46.78
_symmetry_space_group_name_H-M 'P 1'
_symmetry_Int_Tables_number 1
_symmetry_space_group_name_Hall 'P 1'
loop_
_atom_site_label
_atom_site_type_symbol
_atom_site_fract_x
_atom_site_fract_y
_atom_site_fract_z
La1 La 0.7448 0.2448 0.5000
La2 La 0.9948 0.9948 0.0000
Ir1 Ir 0.3378 0.8378 0.5000
Ir2 Ir 0.5878 0.5878 0.0000
Ge1 Ge 0.1655 0.6655 0.5000
Ge2 Ge 0.4155 0.4155 0.0000